MnCr2GaS6: relaxed, PBE.

Lattice parameters (Å, degrees): 6.0480 6.0480 6.4239 61.92 61.92 60.00
Element x y z (fractional)
Cr 0.0162 0.0162 0.9514
Cr 0.5103 0.5104 0.4690
Ga 0.3107 0.3107 0.0678
S 0.9017 0.6238 0.2527
S 0.2218 0.9017 0.2527
S 0.1011 0.4230 0.7450
S 0.4230 0.7309 0.7450
S 0.6238 0.2218 0.2527
S 0.7309 0.1011 0.7450
Mn 0.8220 0.8220 0.5339

Results
Formation energy without anion corrections in meV/atom: -580.0

SrMnCr2Ga: relaxed, PBE.

Lattice parameters (Å, degrees): 4.8914 5.7013 4.8914 90.00 90.00 90.00
Element x y z (fractional)
Cr 0.5000 0.0000 0.0000
Cr 0.0000 0.0000 0.5000
Mn 0.5000 0.5000 0.5000
Sr 0.0000 0.5000 0.0000
Ga 0.0000 0.0000 0.0000

Results
Formation enthalpy at 0 K in eV/atom: 1.06

MnCr2GaTc: relaxed, PBE.

Lattice parameters (Å, degrees): 4.5939 4.7557 4.5939 90.00 90.00 90.00
Element x y z (fractional)
Mn 0.0000 0.5000 0.0000
Ga 0.5000 0.5000 0.5000
Cr 0.0000 0.0000 0.5000
Cr 0.5000 0.0000 0.0000
Tc 0.0000 0.0000 0.0000

Results
Formation enthalpy at 0 K in eV/atom: 1.21

MnCr2GaTe6: relaxed, PBE.

Lattice parameters (Å, degrees): 6.9907 6.9889 7.3669 61.68 61.68 60.02
Element x y z (fractional)
Te 0.8962 0.6244 0.2504
Te 0.7326 0.1014 0.7451
Te 0.4209 0.7328 0.7450
Te 0.2288 0.8962 0.2504
Te 0.1012 0.4211 0.7450
Te 0.6248 0.2287 0.2503
Ga 0.3105 0.3106 0.0685
Cr 0.0153 0.0153 0.9541
Cr 0.5087 0.5087 0.4738
Mn 0.8225 0.8225 0.5326

Results
Formation energy without anion corrections in meV/atom: -162.0

TiMnCrGa2: relaxed, PBE.

Lattice parameters (Å, degrees): 4.6124 4.1723 4.6124 90.00 90.00 90.00
Element x y z (fractional)
Mn 0.5000 0.5000 0.5000
Ga 0.5000 0.0000 0.0000
Ga 0.0000 0.0000 0.5000
Cr 0.0000 0.0000 0.0000
Ti 0.0000 0.5000 0.0000

Results
Formation enthalpy at 0 K in eV/atom: 0.90

ZrMnCr2Ga: relaxed, PBE.

Lattice parameters (Å, degrees): 4.5995 5.0166 4.5995 90.00 90.00 90.00
Element x y z (fractional)
Ga 0.0000 0.0000 0.0000
Mn 0.5000 0.5000 0.5000
Cr 0.5000 0.0000 0.0000
Cr 0.0000 0.0000 0.5000
Zr 0.0000 0.5000 0.0000

Results
Formation enthalpy at 0 K in eV/atom: 1.08

Cr3GaMo: relaxed, PBE.

Lattice parameters (Å, degrees): 4.6659 4.6659 4.6659 90.00 90.00 90.00
Element x y z (fractional)
Cr 0.5000 0.0000 0.0000
Cr 0.0000 0.0000 0.5000
Cr 0.0000 0.5000 0.0000
Ga 0.5000 0.5000 0.5000
Mo 0.0000 0.0000 0.0000

Results
Formation enthalpy at 0 K in eV/atom: 1.40

CrGa2Mo: relaxed, PBE.

Lattice parameters (Å, degrees): 4.3223 4.3223 4.3223 60.00 60.00 60.00
Element x y z (fractional)
Cr 0.0000 0.0000 0.0000
Ga 0.7500 0.7500 0.7500
Ga 0.2500 0.2500 0.2500
Mo 0.5000 0.5000 0.5000

Results
Formation enthalpy at 0 K in eV/atom: 0.24

Let's list theoretical density in order: 4.09; 3.85; 5.40; 6.33; 5.50; 5.00; 5.26; 8.36 g cm⁻³.
Let's list density of states at the Fermi level in order: 3.69; 5.37; 4.83; 4.91; 9.54; 7.94; 4.01; 5.80 states/eV per cell.